Below is an optimized crystal structure of PmNdDy2Tm5, with properties calculated at the PBE level.

Unit cell a=8.755 b=8.755 c=14.944 alpha=90.00 beta=90.00 gamma=90.00
Space group I4/mcm (No. 140)
Symmetry-distinct sites (fractional):
Pm  0.000  0.000  0.250 x4
Nd  0.000  0.500  0.250 x4
Dy  0.115  0.385  0.000 x8
Tm  0.000  0.000  0.000 x4
Tm  0.205  0.295  0.367 x16

raw total energy: -4.286 eV/atom
magnetization: 0.000 μB per atom
formation enthalpy at 0 K: 2.51 eV/f.u.

Below is an optimized crystal structure of LiNbS2, with properties calculated at the PBE level.

Unit cell a=3.3835 b=3.3835 c=12.9477 alpha=90.00 beta=90.00 gamma=120.00
Space group P6_3/mmc (No. 194)
Symmetry-distinct sites (fractional):
Li  0.0000  0.0000  0.0000 x2
Nb  0.0000  0.0000  0.2500 x2
S  0.3333  0.6667  0.1279 x4

raw total energy: -6.374 eV/atom
magnetization: 0.000 μB per atom

Below is an optimized crystal structure of SrNi3Ir, with properties calculated at the PBE level.

Unit cell a=4.524 b=4.524 c=4.524 alpha=90.00 beta=90.00 gamma=90.00
Space group Pm-3m (No. 221)
Symmetry-distinct sites (fractional):
Sr  0.000  0.000  0.000 x1
Ni  0.000  0.000  0.500 x3
Ir  0.500  0.500  0.500 x1

raw total energy: -3.434 eV/atom
magnetization: 0.229 μB per atom
formation enthalpy at 0 K: 10.72 eV/f.u.

Below is an optimized crystal structure of TlZnIn2, with properties calculated at the PBE level.

Unit cell a=3.5293 b=3.5293 c=28.5712 alpha=90.00 beta=90.00 gamma=120.00
Space group R3m (No. 160, hexagonal axes)
Symmetry-distinct sites (fractional):
Tl  0.0000  0.0000  0.0000 x3
Zn  0.0000  0.0000  0.7442 x3
In  0.0000  0.0000  0.2401 x3
In  0.0000  0.0000  0.4838 x3

raw total energy: -2.193 eV/atom
magnetization: 0.000 μB per atom
formation enthalpy at 0 K: 0.34 eV/f.u.

The highest raw total energy belongs to which entry?
TlZnIn2